(1)
The following is a PBE-GGA calculation of crystalline B3TePd at its relaxed geometry, from Alexandria via LeMat-Bulk.

- E_form (uncorrected): 2.2745 eV per atom
- Excess energy over the best structure of this formula in the dataset: 889 meV per atom
- Size of the total moment: 0.000 μB per formula unit

abc: 4.3962 4.3962 4.3962
angles: 90.00 90.00 90.00
Positions (direct):
Pd  0.5000  0.5000  0.5000
B  0.0000  0.5000  0.0000
B  0.0000  0.0000  0.5000
B  0.5000  0.0000  0.0000
Te  0.0000  0.0000  0.0000

***

(2)
The following is a PBE-GGA calculation of crystalline BTe2Pd at its relaxed geometry, from Alexandria via LeMat-Bulk.

- E_form (uncorrected): 0.5653 eV per atom
- Size of the total moment: 0.000 μB per formula unit

abc: 8.2717 8.2717 8.2717
angles: 24.30 24.30 24.30
Positions (direct):
Te  0.1065  0.1065  0.1065
Pd  0.0000  0.0000  0.0000
B  0.5000  0.5000  0.5000
Te  0.8935  0.8935  0.8935

***

(3)
The following is a PBE-GGA calculation of crystalline BTe2Pd at its relaxed geometry, from Alexandria via LeMat-Bulk.

- E_form (uncorrected): 0.1454 eV per atom
- Size of the total moment: 0.000 μB per formula unit

abc: 5.8791 5.8791 6.7279
angles: 64.09 64.09 90.00
Positions (direct):
Pd  0.7500  0.2500  0.5000
B  0.2500  0.7500  0.5000
Te  0.5799  0.1250  0.2500
Te  0.1701  0.6250  0.2500
Pd  0.0000  0.0000  0.0000
B  0.5000  0.5000  0.0000
Te  0.3750  0.4201  0.7500
Te  0.8750  0.8299  0.7500

***

(4)
The following is a PBE-GGA calculation of crystalline BTe3Pd at its relaxed geometry, from Alexandria via LeMat-Bulk.

- E_form (uncorrected): 0.8059 eV per atom
- Excess energy over the best structure of this formula in the dataset: 0 meV per atom
- Size of the total moment: 0.000 μB per formula unit

abc: 4.8123 4.8123 4.8123
angles: 90.00 90.00 90.00
Positions (direct):
Te  0.5000  0.0000  0.0000
Te  0.0000  0.0000  0.5000
Pd  0.5000  0.5000  0.5000
B  0.0000  0.0000  0.0000
Te  0.0000  0.5000  0.0000